Entry from Alexandria: a relaxed Y3Tm2Ag3 crystal (PBE).

The structure belongs to space group Immm (No. 71); the cell edges are 3.639, 5.253 and 21.523 Å and the angles 90.00°, 90.00° and 90.00°. The asymmetric unit holds Y at (0.000, 0.000, 0.000), Y at (0.000, 0.500, 0.121), Tm at (0.000, 0.000, 0.231), Ag at (0.000, 0.000, 0.500) and Ag at (0.000, 0.500, 0.381).

The spin magnetization comes out at 0.00 μB/f.u. As for the total energy: -4.8485 eV per atom.